Computed, not measured: an optimized crystal structure of Cd5In4Sn at the GGA-PBE level of DFT.

Unit cell a=9.4622 b=10.1427 c=5.5055 alpha=90.00 beta=90.00 gamma=90.00
Fractional coordinates of all 20 atoms:
Cd  0.0744  0.0188  0.2411
Cd  0.0744  0.4812  0.2411
Cd  0.2500  0.2500  0.0942
Cd  0.4256  0.0188  0.2411
Cd  0.4256  0.4812  0.2411
Cd  0.5744  0.5188  0.7589
Cd  0.5744  0.9812  0.7589
Cd  0.7500  0.7500  0.9058
Cd  0.9256  0.5188  0.7589
Cd  0.9256  0.9812  0.7589
In  0.0774  0.2500  0.6150
In  0.2500  0.5827  0.7521
In  0.2500  0.9173  0.7521
In  0.4226  0.2500  0.6150
In  0.5774  0.7500  0.3850
In  0.7500  0.0827  0.2479
In  0.7500  0.4173  0.2479
In  0.9226  0.7500  0.3850
Sn  0.2500  0.7500  0.2478
Sn  0.7500  0.2500  0.7522

Summary:
SG: Pmmn (59)
Energy above the most stable polymorph in this dataset (meV/atom): 22
Energy of formation from the pure elements (kJ/mol of formula units): 51

---

Computed, not measured: an optimized crystal structure of TaCdSe2 at the GGA-PBE level of DFT.

Unit cell a=10.0813 b=10.0813 c=10.0813 alpha=18.84 beta=18.84 gamma=18.84
Fractional coordinates of all 4 atoms:
Ta  0.0000  0.0000  0.0000
Cd  0.2519  0.2519  0.2519
Se  0.5161  0.5161  0.5161
Se  0.7245  0.7245  0.7245

Summary:
SG: R3m (160)
Formation energy without anion corrections (kJ per mole of atoms): -7.42